1.
Computed, not measured: GdTmCo2 after structural relaxation at the PBE level of DFT.

**Mass density**: 9.46 g/cm³
**Relative energy among the computed polymorphs**: 0.0 meV per atom
**SG**: Amm2 (38)
**ΔH_f (0 K)**: -212 meV/atom

Cell: 3.847 5.503 5.503 Å, 42.00 90.00 90.00°
Each line ends with the local moment (μB).
Atoms (fractional coordinates):
Co 0.000 0.438 0.438  0.09
Co 0.500 0.558 0.558  0.08
Gd 0.000 0.146 0.146  -0.03
Tm 0.500 0.858 0.858  -0.03

2.
Computed, not measured: ZrScNiBi after structural relaxation at the PBE level of DFT.

**Mass density**: 8.16 g/cm³
**Final energy**: -5.980 eV/atom
**SG**: F-43m (216)

Cell: 4.880 4.880 4.880 Å, 60.00 60.00 60.00°
Atoms (fractional coordinates):
Bi 0.000 0.000 0.000
Ni 0.750 0.750 0.750
Sc 0.250 0.250 0.250
Zr 0.500 0.500 0.500

- Which value of mass density does entry 2 give?
  8.16 g/cm³